A geometry-optimized La8Tm2Mg structure. Source: the Alexandria database, functional PBE.

Results
ΔE to the lowest computed polymorph ... 8.6 kJ/mol of atoms
DOS at the Fermi energy ... 16.6 states/eV/cell
DFT total energy ... -4.45 eV per atom
Formation energy from the elements ... 96.4 meV/atom
Size of the total moment ... 0.000 μB/cell

a b c (Å): 9.7560 9.7560 6.2286
angles (deg): 103.60 103.60 41.20
Last column: nearest neighbours and their distance in Å.
Element x y z (fractional)
1 La 0.0335 0.0335 0.2818  4 La 3.25-3.61, 1 Tm 3.37
2 La 0.0720 0.6127 0.0101  3 La 3.15-3.36, 1 Mg 3.44
3 La 0.3873 0.9280 0.9899  3 La 3.15-3.36, 1 Mg 3.44
4 La 0.3963 0.3963 0.4655  3 La 3.33-3.70, 1 Mg 3.39, 1 Tm 3.39
5 La 0.6037 0.6037 0.5345  3 La 3.33-3.70, 1 Mg 3.39, 1 Tm 3.39
6 La 0.6127 0.0720 0.0101  3 La 3.15-3.36, 1 Mg 3.44
7 La 0.9280 0.3873 0.9899  3 La 3.15-3.36, 1 Mg 3.44
8 La 0.9665 0.9665 0.7182  4 La 3.25-3.61, 1 Tm 3.37
9 Tm 0.2190 0.2190 0.5430  8 La 3.37-3.70, 2 Tm 3.70
10 Tm 0.7810 0.7810 0.4570  8 La 3.37-3.70, 2 Tm 3.70
11 Mg 0.5000 0.5000 0.0000  6 La 3.39-3.44


A geometry-optimized TmTlTc structure. Source: the Alexandria database, functional PBE.

Results
DOS at the Fermi energy ... 3.3 states/eV/cell
DFT total energy ... -5.82 eV per atom
Formation energy from the elements ... -86.0 meV/atom
Size of the total moment ... 0.000 μB/cell

a b c (Å): 11.2086 11.2086 11.2086
angles (deg): 20.93 20.93 20.93
Last column: nearest neighbours and their distance in Å.
Element x y z (fractional)
1 Tm 0.0619 0.0619 0.0619  6 Tc 2.98-3.24, 3 Tl 3.33
2 Tm 0.9381 0.9381 0.9381  6 Tc 2.98-3.24, 3 Tl 3.33
3 Tl 0.1999 0.1999 0.1999  3 Tl 3.21, 3 Tm 3.33
4 Tl 0.8001 0.8001 0.8001  3 Tl 3.21, 3 Tm 3.33
5 Tc 0.3392 0.3392 0.3392  3 Tc 2.38
6 Tc 0.6608 0.6608 0.6608  3 Tc 2.38


A geometry-optimized CaPtAu3 structure. Source: the Alexandria database, functional PBE.

Results
ΔE to the lowest computed polymorph ... 154.1 kJ/mol of atoms
DOS at the Fermi energy ... 14.6 states/eV/cell
DFT total energy ... -2.46 eV per atom
Formation energy from the elements ... 1113.4 meV/atom
Size of the total moment ... 0.000 μB/cell

a b c (Å): 5.1650 5.1650 5.1650
angles (deg): 90.00 90.00 90.00
Last column: nearest neighbours and their distance in Å.
Element x y z (fractional)
1 Ca 0.0000 0.0000 0.0000  6 Au 2.58
2 Pt 0.5000 0.5000 0.5000  12 Au 3.65
3 Au 0.0000 0.0000 0.5000  2 Ca 2.58
4 Au 0.0000 0.5000 0.0000  2 Ca 2.58
5 Au 0.5000 0.0000 0.0000  2 Ca 2.58


A geometry-optimized Ce6Tl2CoOs structure. Source: the Alexandria database, functional PBE.

Results
DOS at the Fermi energy ... 29.7 states/eV/cell
DFT total energy ... -6.01 eV per atom
Formation energy from the elements ... -140.0 meV/atom
Size of the total moment ... 3.418 μB/cell

a b c (Å): 7.2015 7.2059 7.5254
angles (deg): 118.48 118.38 90.20
Last column: nearest neighbours and their distance in Å.
Element x y z (fractional)
1 Ce 0.1808 0.1988 0.4981  1 Co 2.53, 1 Os 2.71
2 Ce 0.2533 0.7509 0.0049  1 Os 2.75, 1 Co 2.81
3 Ce 0.3014 0.6816 0.5012  1 Co 2.52, 1 Os 2.71
4 Ce 0.6986 0.3184 0.4988  1 Co 2.52, 1 Os 2.71
5 Ce 0.7467 0.2491 0.9951  1 Os 2.75, 1 Co 2.81
6 Ce 0.8192 0.8012 0.5019  1 Co 2.53, 1 Os 2.71
7 Tl 0.2494 0.2497 0.0000  8 Ce 3.38-3.61
8 Tl 0.7506 0.7503 0.0000  8 Ce 3.38-3.61
9 Co 0.0000 0.5000 0.5000  6 Ce 2.52-2.81
10 Os 0.5000 0.0000 0.5000  6 Ce 2.71-2.75


A geometry-optimized Rb2AlAgP structure. Source: the Alexandria database, functional PBE.

Results
DOS at the Fermi energy ... 3.7 states/eV/cell
DFT total energy ... -2.43 eV per atom
Formation energy from the elements ... 357.8 meV/atom
Size of the total moment ... 1.112 μB/cell

a b c (Å): 6.6947 6.6947 4.6321
angles (deg): 90.00 90.00 90.00
Last column: nearest neighbours and their distance in Å.
Element x y z (fractional)
1 Rb 0.0000 0.5000 0.0000  2 P 3.35
2 Rb 0.5000 0.0000 0.0000  2 P 3.35
3 Al 0.0000 0.0000 0.5000  8 Rb 4.07
4 Ag 0.5000 0.5000 0.5000  2 P 2.32
5 P 0.5000 0.5000 0.0000  2 Ag 2.32


A geometry-optimized TlTc2Ru structure. Source: the Alexandria database, functional PBE.

Results
ΔE to the lowest computed polymorph ... 10.8 kJ/mol of atoms
DOS at the Fermi energy ... 9.0 states/eV/cell
DFT total energy ... -7.58 eV per atom
Formation energy from the elements ... 510.8 meV/atom
Size of the total moment ... 0.000 μB/cell

a b c (Å): 9.2493 2.9108 4.9946
angles (deg): 90.00 101.64 90.00
Last column: nearest neighbours and their distance in Å.
Element x y z (fractional)
1 Tl 0.0000 0.0000 0.0000  3 Ru 2.77-2.90, 7 Tc 2.85-3.02, 2 Tl 2.91
2 Tl 0.5000 0.5000 0.0000  3 Ru 2.77-2.90, 7 Tc 2.85-3.02, 2 Tl 2.91
3 Tc 0.2341 0.0000 0.6790  2 Ru 2.61, 5 Tc 2.64-2.91
4 Tc 0.4953 0.0000 0.5081  5 Tc 2.64-2.91, 2 Ru 2.69, 4 Tl 2.85-2.93
5 Tc 0.7341 0.5000 0.6790  2 Ru 2.61, 5 Tc 2.64-2.91
6 Tc 0.9953 0.5000 0.5081  5 Tc 2.64-2.91, 2 Ru 2.69, 4 Tl 2.85-2.93
7 Ru 0.2619 0.5000 0.2581  4 Tc 2.61-2.69, 3 Tl 2.77-2.90, 2 Ru 2.91
8 Ru 0.7619 0.0000 0.2581  4 Tc 2.61-2.69, 3 Tl 2.77-2.90, 2 Ru 2.91


A geometry-optimized VCuTe4 structure. Source: the Alexandria database, functional PBE.

Results
DOS at the Fermi energy ... 5.7 states/eV/cell
Uncorrected formation energy ... 24 meV/atom
DFT total energy ... -4.27 eV per atom
Size of the total moment ... 0.003 μB/cell

a b c (Å): 8.7837 8.7837 8.7955
angles (deg): 110.87 110.87 35.11
Last column: nearest neighbours and their distance in Å.
Element x y z (fractional)
1 V 0.2057 0.2057 0.2969  5 Te 2.46-2.72
2 V 0.7943 0.7943 0.7031  5 Te 2.46-2.72
3 Cu 0.1146 0.1146 0.7029  5 Te 2.55-2.81
4 Cu 0.8854 0.8854 0.2971  5 Te 2.55-2.81
5 Te 0.0723 0.0723 0.3822  1 V 2.61, 1 Cu 2.64
6 Te 0.1232 0.1232 0.9990  1 V 2.46, 1 Cu 2.55
7 Te 0.2688 0.2688 0.6450  3 V 2.70-2.84, 1 Cu 2.81
8 Te 0.3757 0.3757 0.3460  2 Cu 2.70, 1 V 2.72
9 Te 0.6243 0.6243 0.6540  2 Cu 2.70, 1 V 2.72
10 Te 0.7312 0.7312 0.3550  3 V 2.70-2.84, 1 Cu 2.81
11 Te 0.8768 0.8768 0.0010  1 V 2.46, 1 Cu 2.55
12 Te 0.9277 0.9277 0.6178  1 V 2.61, 1 Cu 2.64


A geometry-optimized AcNdAs structure. Source: the Alexandria database, functional PBE.

Results
ΔE to the lowest computed polymorph ... 9.6 kJ/mol of atoms
DOS at the Fermi energy ... 7.6 states/eV/cell
DFT total energy ... -5.24 eV per atom
Formation energy from the elements ... -730.1 meV/atom
Size of the total moment ... 0.000 μB/cell

a b c (Å): 7.3162 7.3162 7.3162
angles (deg): 90.00 90.00 90.00
Last column: nearest neighbours and their distance in Å.
Element x y z (fractional)
1 Ac 0.0000 0.0000 0.0000  4 As 3.17
2 Ac 0.0000 0.5000 0.5000  4 As 3.17
3 Ac 0.5000 0.0000 0.5000  4 As 3.17
4 Ac 0.5000 0.5000 0.0000  4 As 3.17
5 Nd 0.0000 0.0000 0.5000  4 As 3.17
6 Nd 0.0000 0.5000 0.0000  4 As 3.17
7 Nd 0.5000 0.0000 0.0000  4 As 3.17
8 Nd 0.5000 0.5000 0.5000  4 As 3.17
9 As 0.2500 0.2500 0.7500  4 Nd 3.17, 4 Ac 3.17
10 As 0.2500 0.7500 0.2500  4 Nd 3.17, 4 Ac 3.17
11 As 0.7500 0.2500 0.2500  4 Nd 3.17, 4 Ac 3.17
12 As 0.7500 0.7500 0.7500  4 Ac 3.17, 4 Nd 3.17


Copy entry 2 word for word.
A geometry-optimized TmTlTc structure. Source: the Alexandria database, functional PBE.

Results
DOS at the Fermi energy ... 3.3 states/eV/cell
DFT total energy ... -5.82 eV per atom
Formation energy from the elements ... -86.0 meV/atom
Size of the total moment ... 0.000 μB/cell

a b c (Å): 11.2086 11.2086 11.2086
angles (deg): 20.93 20.93 20.93
Last column: nearest neighbours and their distance in Å.
Element x y z (fractional)
1 Tm 0.0619 0.0619 0.0619  6 Tc 2.98-3.24, 3 Tl 3.33
2 Tm 0.9381 0.9381 0.9381  6 Tc 2.98-3.24, 3 Tl 3.33
3 Tl 0.1999 0.1999 0.1999  3 Tl 3.21, 3 Tm 3.33
4 Tl 0.8001 0.8001 0.8001  3 Tl 3.21, 3 Tm 3.33
5 Tc 0.3392 0.3392 0.3392  3 Tc 2.38
6 Tc 0.6608 0.6608 0.6608  3 Tc 2.38


What is the formula in the third record?
CaPtAu3